VASP calculation (PBE with a Hubbard U) on a relaxed NpCoCu2O6 crystal.

The calculation puts the raw total energy at -7.0465 eV per atom. As for the volume: 473 Å³/cell. The value obtained for the density of states at the Fermi level is 32.3 states/eV per cell.

It has space group C2/c (No. 15), with a = 10.2114 Å, b = 8.9889 Å, c = 5.2289 Å, α = 90.00°, β = 100.04° and γ = 90.00°. Symmetry generates all atoms from Np at (0.0000, 0.2368, 0.2500), Co at (0.0000, 0.4178, 0.7500), Cu at (0.1998, 0.1015, 0.8255), O at (0.1030, 0.4258, 0.1043), O at (0.1048, 0.2635, 0.6235) and O at (0.1274, 0.0860, 0.1482).